NaSiB3 at its PBEsol-relaxed geometry, computed with SCAN.

Structure (extended XYZ):
```
5
Lattice="-3.946 -1.130 -1.142 1.314 -0.527 -4.019 0.924 -4.074 0.836" Properties=species:S:1:pos:R:3 pbc="T T T"
B 0.657 -0.263 -2.009
B 0.462 -2.037 0.418
B -1.973 -0.565 -0.571
Si -0.854 -2.865 -2.162
Na 0.000 0.000 0.000
```

Properties
Total magnetic moment: 0.0 μB/f.u.
Space group: No. 221
V: 15.5 Å³/atom
Raw formation energy: 3.0520 eV per atom
Energy: -21.26 eV for the cell shown


ZrSiSb2I at its PBEsol-relaxed geometry, computed with SCAN.

Structure (extended XYZ):
```
5
Lattice="5.420 0.000 0.000 0.000 5.532 0.000 0.000 0.000 5.532" Properties=species:S:1:pos:R:3 pbc="T T T"
Sb 0.000 2.766 0.000
Sb 0.000 0.000 2.766
Zr 0.000 0.000 0.000
I 2.710 0.000 0.000
Si 2.710 2.766 2.766
```

Properties
Total magnetic moment: 0.6 μB/f.u.
Space group: No. 123
V: 33.2 Å³/atom
Raw formation energy: 0.6872 eV per atom
Energy: -148.54 eV for the cell shown


Ag2Br2F at its PBEsol-relaxed geometry, computed with SCAN.

Structure (extended XYZ):
```
5
Lattice="-0.295 2.860 -4.247 -0.012 -4.254 -2.864 -5.620 0.522 3.839" Properties=species:S:1:pos:R:3 pbc="T T T"
Br -2.893 -2.214 -1.291
Br -3.034 1.343 -1.982
F 0.000 0.000 0.000
Ag -2.146 -0.065 0.105
Ag -3.781 -0.807 -3.378
```

Properties
Total magnetic moment: 0.0 μB/f.u.
Space group: No. 139
V: 30.4 Å³/atom
Raw formation energy: -0.4796 eV per atom
Energy: -107.59 eV for the cell shown


Hf3PdPt at its PBEsol-relaxed geometry, computed with SCAN.

Structure (extended XYZ):
```
5
Lattice="-0.715 -0.259 4.883 4.351 -2.288 0.515 2.233 4.373 0.559" Properties=species:S:1:pos:R:3 pbc="T T T"
Hf 1.117 2.187 0.280
Hf 2.175 -1.144 0.258
Hf -0.357 -0.130 2.442
Pt 0.000 0.000 0.000
Pd 2.935 0.913 2.979
```

Properties
Total magnetic moment: 0.0 μB/f.u.
Space group: No. 221
V: 24.1 Å³/atom
Energy: -289.84 eV for the cell shown
E_form: 0.2290 eV per atom


Zn2SiAg at its PBEsol-relaxed geometry, computed with SCAN.

Structure (extended XYZ):
```
4
Lattice="-3.412 0.681 -1.817 -1.386 -3.428 1.317 1.052 3.144 3.443" Properties=species:S:1:pos:R:3 pbc="T T T"
Zn -2.379 1.226 0.688
Zn -1.366 -0.829 2.255
Ag -2.399 -1.373 -0.250
Si 0.000 0.000 0.000
```

Properties
Total magnetic moment: 0.0 μB/f.u.
Space group: No. 139
V: 15.0 Å³/atom
Raw formation energy: 0.2355 eV per atom
Energy: -67.47 eV for the cell shown


TlP at its PBEsol-relaxed geometry, computed with SCAN.

Structure (extended XYZ):
```
4
Lattice="-0.979 -3.557 -2.071 -0.450 0.194 4.202 -6.524 2.264 -0.804" Properties=species:S:1:pos:R:3 pbc="T T T"
Tl -1.457 -0.768 2.009
Tl -4.895 -0.886 -0.484
P -0.814 -2.303 0.019
P -3.900 0.080 1.708
```

Properties
Total magnetic moment: 0.0 μB/f.u.
Space group: No. 186
V: 26.9 Å³/atom
Energy: -164.71 eV for the cell shown
E_form: 0.2008 eV per atom


Sc2HgGe at its PBEsol-relaxed geometry, computed with SCAN.

Structure (extended XYZ):
```
4
Lattice="3.780 0.000 0.000 1.890 3.273 0.000 1.890 1.091 8.715" Properties=species:S:1:pos:R:3 pbc="T T T"
Sc 5.670 3.273 2.915
Sc 1.890 1.091 5.800
Ge 3.780 2.182 4.357
Hg 0.000 0.000 0.000
```

Properties
Total magnetic moment: 0.0 μB/f.u.
Space group: No. 166
V: 27.0 Å³/atom
Energy: -116.55 eV for the cell shown
E_form: -0.2067 eV per atom


HfZn2GaNi at its PBEsol-relaxed geometry, computed with SCAN.

Structure (extended XYZ):
```
5
Lattice="4.368 0.000 0.000 0.000 4.368 0.000 0.000 0.000 5.025" Properties=species:S:1:pos:R:3 pbc="T T T"
Ga 0.000 0.000 0.000
Ni 2.184 2.184 2.513
Hf 0.000 0.000 2.513
Zn 0.000 2.184 0.000
Zn 2.184 0.000 0.000
```

Properties
Total magnetic moment: 0.0 μB/f.u.
Space group: No. 123
V: 19.2 Å³/atom
Energy: -118.44 eV for the cell shown
E_form: 0.7576 eV per atom


LiFe2Te at its PBEsol-relaxed geometry, computed with SCAN.

Structure (extended XYZ):
```
4
Lattice="3.011 0.000 0.000 1.505 2.607 0.000 1.505 0.869 8.161" Properties=species:S:1:pos:R:3 pbc="T T T"
Li 3.011 1.738 4.081
Te 0.000 0.000 0.000
Fe 4.516 2.607 6.196
Fe 1.505 0.869 1.966
```

Properties
Total magnetic moment: 5.2 μB/f.u.
Space group: No. 166
V: 16.0 Å³/atom
Raw formation energy: 0.6460 eV per atom
Energy: -73.32 eV for the cell shown


Zr3HgH at its PBEsol-relaxed geometry, computed with SCAN.

Structure (extended XYZ):
```
5
Lattice="-0.035 -2.449 3.647 -2.269 -3.113 -2.112 3.761 -1.901 -1.240" Properties=species:S:1:pos:R:3 pbc="T T T"
H 0.000 0.000 0.000
Zr 1.881 -0.950 -0.620
Zr -0.018 -1.224 1.824
Zr -1.135 -1.556 -1.056
Hg 0.728 -3.731 0.148
```

Properties
Total magnetic moment: 0.0 μB/f.u.
Space group: No. 221
V: 17.0 Å³/atom
Energy: -165.78 eV for the cell shown


TaMo2Ir at its PBEsol-relaxed geometry, computed with SCAN.

Structure (extended XYZ):
```
4
Lattice="-0.692 2.133 1.563 2.490 -1.985 3.811 2.822 2.972 -2.805" Properties=species:S:1:pos:R:3 pbc="T T T"
Ta -0.346 1.066 0.781
Mo 1.411 1.486 -1.403
Mo 1.245 -0.992 1.906
Ir 2.310 1.560 1.285
```

Properties
Excess energy over the best structure of this formula in the dataset: 190.6 meV per atom
Total magnetic moment: 0.0 μB/f.u.
Space group: No. 65
V: 15.5 Å³/atom
Energy: -207.50 eV for the cell shown
E_form: -0.0113 eV per atom


Tl2CdAs2 at its PBEsol-relaxed geometry, computed with SCAN.

Structure (extended XYZ):
```
10
Lattice="-4.005 0.121 -3.817 -4.615 -1.354 4.799 -0.830 6.656 1.081" Properties=species:S:1:pos:R:3 pbc="T T T"
As -0.886 2.330 1.004
As -2.459 5.318 2.748
As -2.986 -0.017 3.132
As -4.558 2.972 4.876
Tl -5.805 4.629 2.226
Tl -6.074 1.101 2.396
Tl -3.375 4.322 -0.333
Tl -3.643 0.793 -0.163
Cd -2.722 2.651 2.940
Cd 0.000 0.000 0.000
```

Properties
Total magnetic moment: 0.0 μB/f.u.
Space group: No. 127
V: 25.5 Å³/atom
Energy: -430.87 eV for the cell shown
E_form: 0.0154 eV per atom


total magnetic moment of number 4 (Hf3PdPt)? 0.0 μB/f.u.